1.
Material: Ni2TeRh2
Method: DFT, PBE
State: relaxed

## Properties
* formation energy (no corrections): 322 meV/atom
* space-group type: No. 139
* crystal system: tetragonal
* E above lowest polymorph: 152.7 meV per atom

Lattice parameters (Å, degrees): 6.535 6.535 6.535 147.75 147.75 46.25
Fractional coordinates of all 5 atoms:
Ni: 0.101 0.101 0.000
Ni: 0.899 0.899 0.000
Te: 0.500 0.500 0.000
Rh: 0.250 0.750 0.500
Rh: 0.750 0.250 0.500

2.
Material: PmYHoHg
Method: DFT, PBE
State: relaxed

## Properties
* space-group type: No. 216
* crystal system: cubic
* E above lowest polymorph: 215.1 meV per atom

Lattice parameters (Å, degrees): 5.435 5.435 5.435 60.00 60.00 60.00
Fractional coordinates of all 4 atoms:
Pm: 0.000 0.000 0.000
Y: 0.250 0.250 0.250
Ho: 0.750 0.750 0.750
Hg: 0.500 0.500 0.500

3.
Material: ZnSbN2O
Method: DFT, PBE
State: relaxed

## Properties
* formation energy (no corrections): 768 meV/atom
* space-group type: No. 123
* crystal system: tetragonal

Lattice parameters (Å, degrees): 4.048 4.048 3.937 90.00 90.00 90.00
Fractional coordinates of all 5 atoms:
Zn: 0.000 0.000 0.000
Sb: 0.500 0.500 0.500
N: 0.000 0.500 0.500
N: 0.500 0.000 0.500
O: 0.500 0.500 0.000

4.
Material: Ba6SiSe2I3
Method: DFT, PBE
State: relaxed

## Properties
* formation energy (no corrections): -1491 meV/atom
* space-group type: No. 12
* crystal system: monoclinic

Lattice parameters (Å, degrees): 8.373 8.373 8.760 99.15 99.15 119.99
Fractional coordinates of all 12 atoms:
Ba: 0.070 0.395 0.209
Ba: 0.255 0.255 0.789
Ba: 0.395 0.070 0.209
Ba: 0.605 0.930 0.791
Ba: 0.745 0.745 0.211
Ba: 0.930 0.605 0.791
Si: 0.000 0.000 0.000
Se: 0.334 0.666 0.000
Se: 0.666 0.334 0.000
I: 0.169 0.831 0.500
I: 0.500 0.500 0.500
I: 0.831 0.169 0.500

5.
Material: CePb2Se4
Method: DFT, PBE
State: relaxed

## Properties
* formation energy (no corrections): -990 meV/atom
* space-group type: No. 55
* crystal system: orthorhombic
* E above lowest polymorph: 0.0 meV per atom

Lattice parameters (Å, degrees): 7.632 13.384 4.302 90.00 90.00 90.00
Fractional coordinates of all 14 atoms:
Ce: 0.000 0.000 0.000
Ce: 0.500 0.500 0.000
Pb: 0.125 0.333 0.500
Pb: 0.375 0.833 0.500
Pb: 0.625 0.167 0.500
Pb: 0.875 0.667 0.500
Se: 0.118 0.797 0.000
Se: 0.243 0.040 0.500
Se: 0.257 0.540 0.500
Se: 0.382 0.297 0.000
Se: 0.618 0.703 0.000
Se: 0.743 0.460 0.500
Se: 0.757 0.960 0.500
Se: 0.882 0.203 0.000

6.
Material: RbTl3O3
Method: DFT, PBE
State: relaxed

## Properties
* formation energy (no corrections): -619 meV/atom
* space-group type: No. 176
* crystal system: hexagonal

Lattice parameters (Å, degrees): 11.595 11.595 3.661 90.00 90.00 120.00
Fractional coordinates of all 14 atoms:
Rb: 0.333 0.667 0.250
Rb: 0.667 0.333 0.750
Tl: 0.008 0.632 0.750
Tl: 0.368 0.376 0.750
Tl: 0.376 0.008 0.250
Tl: 0.624 0.992 0.750
Tl: 0.632 0.624 0.250
Tl: 0.992 0.368 0.250
O: 0.112 0.501 0.750
O: 0.389 0.888 0.750
O: 0.499 0.611 0.750
O: 0.501 0.389 0.250
O: 0.611 0.112 0.250
O: 0.888 0.499 0.250

no.,volume (Å³ per atom)
1,15.84
2,28.39
3,12.90
4,42.03
5,31.39
6,30.44